Material: SnSb3P4O16
Method: DFT, PBE
State: relaxed

Calculated values
- Formation energy without anion corrections: -43.90 eV per formula unit

a = 5.0040 Å, b = 6.7935 Å, c = 9.9173 Å
α = 90.00°, β = 95.45°, γ = 90.00°
Closest atoms and distances in Å follow each position.
Space group Pm (No. 6)
Unique sites:
Sn 0.0000 0.0000 0.0000 [1 per cell]  6 O 2.19-2.41
Sb 0.0585 0.0000 0.4753 [1 per cell]  2 O 2.00-2.14
Sb 0.5686 0.5000 0.1344 [1 per cell]  2 O 2.01-2.13
Sb 0.6396 0.5000 0.6103 [1 per cell]  6 O 2.19-2.37
P 0.0147 0.5000 0.9133 [1 per cell]  4 O 1.54-1.58
P 0.0507 0.5000 0.3995 [1 per cell]  4 O 1.53-1.58
P 0.5789 0.0000 0.2088 [1 per cell]  4 O 1.54-1.57
P 0.6135 0.0000 0.6978 [1 per cell]  4 O 1.55-1.58
O 0.1650 0.3160 0.9755 [2 per cell]  1 P 1.56
O 0.2692 0.0000 0.1958 [1 per cell]  1 P 1.54
O 0.3579 0.5000 0.4113 [1 per cell]  1 P 1.53
O 0.4631 0.1841 0.6379 [2 per cell]  1 P 1.55
O 0.6421 0.0000 0.8544 [1 per cell]  1 P 1.55
O 0.6727 0.0000 0.3618 [1 per cell]  1 P 1.55
O 0.6996 0.1770 0.1330 [2 per cell]  1 P 1.57
O 0.7163 0.5000 0.9525 [1 per cell]  1 P 1.58
O 0.9109 0.0000 0.6557 [1 per cell]  1 P 1.58
O 0.9286 0.3242 0.4778 [2 per cell]  1 P 1.58
O 0.9525 0.5000 0.2477 [1 per cell]  1 P 1.54
O 0.9959 0.5000 0.7575 [1 per cell]  1 P 1.54